Entry 1:
Compound: NaSm2Dy
Source: Alexandria
Functional: PBE
Structure: relaxed

## Properties
* calculated formation energy: 0.138 eV per atom
* polymorph energy (0 for the lowest one): 29.8 meV/atom
* size of the total moment: 0.0 μB per formula unit

Cell lengths 3.5424, 3.5424, 38.3726 Å; angles 90.00, 90.00, 120.00 degrees
Space group R-3m (No. 166, hexagonal axes)
One atom of each set of equivalent atoms:
Na 0.0000 0.0000 0.0000 x3
Sm 0.0000 0.0000 0.0921 x6
Dy 0.0000 0.0000 0.5000 x3


Entry 2:
Compound: Si2HgB2
Source: Alexandria
Functional: PBE
Structure: relaxed

## Properties
* polymorph energy (0 for the lowest one): 0.0 meV/atom
* size of the total moment: 0.0 μB per formula unit

Cell lengths 3.898, 3.898, 8.511 Å; angles 90.00, 90.00, 90.00 degrees
Space group I4/mmm (No. 139)
One atom of each set of equivalent atoms:
Si 0.000 0.500 0.250 x4
Hg 0.000 0.000 0.000 x2
B 0.000 0.000 0.393 x4


Entry 3:
Compound: TaAg2Au
Source: Alexandria
Functional: PBE
Structure: relaxed

## Properties
* calculated formation energy: 0.348 eV per atom
* polymorph energy (0 for the lowest one): 256.7 meV/atom
* size of the total moment: 0.0 μB per formula unit

Cell lengths 4.261, 4.261, 7.730 Å; angles 90.00, 90.00, 90.00 degrees
Space group I4/mmm (No. 139)
One atom of each set of equivalent atoms:
Ta 0.000 0.000 0.000 x2
Ag 0.000 0.500 0.250 x4
Au 0.000 0.000 0.500 x2


Entry 4:
Compound: Pm3SmAg2
Source: Alexandria
Functional: PBE
Structure: relaxed

## Properties
* calculated formation energy: -0.164 eV per atom
* size of the total moment: 0.0 μB per formula unit

Cell lengths 3.709, 3.709, 12.597 Å; angles 90.00, 90.00, 90.00 degrees
Space group P4/mmm (No. 123)
One atom of each set of equivalent atoms:
Pm 0.000 0.000 0.000 x1
Pm 0.000 0.000 0.298 x2
Sm 0.500 0.500 0.500 x1
Ag 0.500 0.500 0.150 x2


Entry 5:
Compound: LiYGaBr2
Source: Alexandria
Functional: PBE
Structure: relaxed

## Properties
* VASP energy: -3.0081 eV/atom
* size of the total moment: 0.0 μB per formula unit

Cell lengths 5.555, 5.555, 5.719 Å; angles 90.00, 90.00, 90.00 degrees
Space group P4/mmm (No. 123)
One atom of each set of equivalent atoms:
Li 0.000 0.000 0.000 x1
Y 0.500 0.500 0.000 x1
Ga 0.500 0.500 0.500 x1
Br 0.000 0.500 0.500 x2


Entry 6:
Compound: Cs5PaO5
Source: Alexandria
Functional: PBE
Structure: relaxed

## Properties
* VASP energy: -5.4647 eV/atom
* size of the total moment: 0.1 μB per formula unit

Cell lengths 13.828, 5.420, 8.243 Å; angles 90.00, 109.46, 90.00 degrees
Space group C2/m (No. 12)
One atom of each set of equivalent atoms:
Cs 0.000 0.000 0.000 x2
Cs 0.171 0.500 0.335 x4
Cs 0.178 0.500 0.804 x4
Pa 0.000 0.000 0.500 x2
O 0.000 0.500 0.500 x2
O 0.110 0.000 0.752 x4
O 0.119 0.000 0.390 x4


Which formula does entry 3 have? TaAg2Au